Computed, not measured: an optimized crystal structure of CsBa2TmI8 at the GGA-PBE level of DFT.

CIF file:
```
data_CsBa2TmI8
_chemical_formula_sum 'Cs1 Ba2 Tm1 I8'
_cell_length_a 7.678
_cell_length_b 7.891
_cell_length_c 10.678
_cell_angle_alpha 90.03
_cell_angle_beta 90.07
_cell_angle_gamma 90.08
_symmetry_space_group_name_H-M 'P -1'
_symmetry_Int_Tables_number 2
loop_
_symmetry_equiv_pos_as_xyz
'x,y,z'
'-x,-y,-z'
loop_
_atom_site_label
_atom_site_type_symbol
_atom_site_fract_x
_atom_site_fract_y
_atom_site_fract_z
Cs1 Cs 0.000 0.000 0.000
Ba1 Ba 0.500 0.500 0.256
Tm1 Tm 0.000 0.000 0.500
I1 I 0.229 0.852 0.301
I2 I 0.230 0.853 0.699
I3 I 0.233 0.319 0.500
I4 I 0.255 0.399 0.000
```

Output
final energy	-3.360	eV per atom
Fermi-level density of states	0.00	states/eV/atom